Entry 1:
This record from the Alexandria database describes an optimized crystal structure of KBeTc2. The functional is GGA-PBE. Values from VASP.

Summary:
M_tot in μB/f.u.: 0.2
Space-group type: No. 99
Formation energy in meV/atom: 499
Fermi-level density of states in states/eV/cell: 3.37

Structure (Quantum ESPRESSO input):
```
&SYSTEM
  ibrav = 0, nat = 4, ntyp = 3
/
ATOMIC_SPECIES
Be 9.01 Be.upf
K 39.10 K.upf
Tc 98.00 Tc.upf
ATOMIC_POSITIONS angstrom
Be -2.018 1.190 2.245
K -4.851 0.366 4.017
Tc -0.475 0.280 0.528
Tc -2.518 -1.010 1.421
CELL_PARAMETERS angstrom
-2.383 -0.950 -1.638
0.056 -2.668 1.464
-5.023 2.963 5.590
```



Entry 2:
This record from the Alexandria database describes an optimized crystal structure of K2BeTc. The functional is GGA-PBE. Values from VASP.

Summary:
M_tot in μB/f.u.: 0.0
Space-group type: No. 10
Formation energy in meV/atom: 1408
Fermi-level density of states in states/eV/cell: 3.19

Structure (Quantum ESPRESSO input):
```
&SYSTEM
  ibrav = 0, nat = 4, ntyp = 3
/
ATOMIC_SPECIES
Be 9.01 Be.upf
Tc 98.00 Tc.upf
K 39.10 K.upf
ATOMIC_POSITIONS angstrom
Be -3.208 -2.554 3.519
Tc -2.981 -0.779 1.049
K -0.452 -3.481 4.928
K -0.231 -1.844 2.482
CELL_PARAMETERS angstrom
-5.734 0.218 -0.371
-0.094 -2.758 -0.168
-0.361 -0.792 5.107
```



Entry 3:
This record from the Alexandria database describes an optimized crystal structure of K2BeTc. The functional is GGA-PBE. Values from VASP.

Summary:
M_tot in μB/f.u.: 1.5
Space-group type: No. 99
Formation energy in meV/atom: 732
Fermi-level density of states in states/eV/cell: 4.25

Structure (Quantum ESPRESSO input):
```
&SYSTEM
  ibrav = 0, nat = 4, ntyp = 3
/
ATOMIC_SPECIES
Tc 98.00 Tc.upf
Be 9.01 Be.upf
K 39.10 K.upf
ATOMIC_POSITIONS angstrom
Tc 0.000 0.000 6.172
Be 1.653 1.653 6.552
K 1.653 1.653 3.420
K 0.000 0.000 9.271
CELL_PARAMETERS angstrom
3.307 0.000 0.000
0.000 3.307 0.000
0.000 0.000 10.166
```



Entry 4:
This record from the Alexandria database describes an optimized crystal structure of KBe3Tc. The functional is GGA-PBE. Values from VASP.

Summary:
Energy above the most stable polymorph in this dataset in meV per atom: 1755
M_tot in μB/f.u.: 1.8
Space-group type: No. 221
Formation energy in meV/atom: 2622
Fermi-level density of states in states/eV/cell: 2.34

Structure (Quantum ESPRESSO input):
```
&SYSTEM
  ibrav = 0, nat = 5, ntyp = 3
/
ATOMIC_SPECIES
Be 9.01 Be.upf
Tc 98.00 Tc.upf
K 39.10 K.upf
ATOMIC_POSITIONS angstrom
Be -1.039 -0.971 1.571
Be -1.241 1.702 0.232
Tc -3.648 -0.076 0.399
K 0.000 0.000 0.000
Be -1.368 -0.806 -1.403
CELL_PARAMETERS angstrom
-2.482 3.403 0.463
-2.735 -1.613 -2.807
-2.078 -1.943 3.141
```



Entry 5:
This record from the Alexandria database describes an optimized crystal structure of KBeTc2. The functional is GGA-PBE. Values from VASP.

Summary:
M_tot in μB/f.u.: 0.0
Space-group type: No. 8
Formation energy in meV/atom: 634
Fermi-level density of states in states/eV/cell: 2.67

Structure (Quantum ESPRESSO input):
```
&SYSTEM
  ibrav = 0, nat = 4, ntyp = 3
/
ATOMIC_SPECIES
K 39.10 K.upf
Be 9.01 Be.upf
Tc 98.00 Tc.upf
ATOMIC_POSITIONS angstrom
K 6.213 2.110 5.331
Be 4.189 1.423 2.729
Tc 7.717 2.621 0.810
Tc 1.967 0.668 1.868
CELL_PARAMETERS angstrom
4.333 0.008 -0.007
3.441 2.633 -0.007
0.433 0.147 7.182
```



Entry 6:
This record from the Alexandria database describes an optimized crystal structure of K2BeTc. The functional is GGA-PBE. Values from VASP.

Summary:
M_tot in μB/f.u.: 0.0
Space-group type: No. 6
Formation energy in meV/atom: 714
Fermi-level density of states in states/eV/cell: 3.60

Structure (Quantum ESPRESSO input):
```
&SYSTEM
  ibrav = 0, nat = 4, ntyp = 3
/
ATOMIC_SPECIES
Be 9.01 Be.upf
Tc 98.00 Tc.upf
K 39.10 K.upf
ATOMIC_POSITIONS angstrom
Be 1.640 4.535 6.379
Tc 0.000 2.891 6.202
K 1.640 1.166 3.466
K 0.000 4.610 9.143
CELL_PARAMETERS angstrom
3.281 0.000 0.000
0.000 3.276 -0.083
0.000 2.005 10.159
```



Entry 7:
This record from the Alexandria database describes an optimized crystal structure of KBeTc2. The functional is GGA-PBE. Values from VASP.

Summary:
M_tot in μB/f.u.: 0.0
Space-group type: No. 139
Formation energy in meV/atom: 1543
Fermi-level density of states in states/eV/cell: 3.64

Structure (Quantum ESPRESSO input):
```
&SYSTEM
  ibrav = 0, nat = 4, ntyp = 3
/
ATOMIC_SPECIES
Be 9.01 Be.upf
Tc 98.00 Tc.upf
K 39.10 K.upf
ATOMIC_POSITIONS angstrom
Be 1.741 -2.053 1.393
Tc 0.000 0.000 0.000
K -0.879 -2.194 1.897
Tc 0.385 -4.673 0.697
CELL_PARAMETERS angstrom
-2.235 -4.814 1.201
3.005 -4.532 0.193
0.091 5.099 1.897
```



Entry 8:
This record from the Alexandria database describes an optimized crystal structure of KBeTc2. The functional is GGA-PBE. Values from VASP.

Summary:
M_tot in μB/f.u.: 0.2
Space-group type: No. 44
Formation energy in meV/atom: 1284
Fermi-level density of states in states/eV/cell: 4.86

Structure (Quantum ESPRESSO input):
```
&SYSTEM
  ibrav = 0, nat = 4, ntyp = 3
/
ATOMIC_SPECIES
K 39.10 K.upf
Tc 98.00 Tc.upf
Be 9.01 Be.upf
ATOMIC_POSITIONS angstrom
K -2.192 -2.618 1.148
Tc 0.782 -1.902 1.841
Be 0.794 -4.080 0.763
Tc 0.093 -0.477 0.089
CELL_PARAMETERS angstrom
-2.096 -5.227 0.150
3.854 -3.809 1.540
-3.161 4.476 1.307
```



Entry 9:
This record from the Alexandria database describes an optimized crystal structure of KBeTc. The functional is GGA-PBE. Values from VASP.

Summary:
Energy above the most stable polymorph in this dataset in meV per atom: 2
M_tot in μB/f.u.: 0.5
Space-group type: No. 44
Formation energy in meV/atom: 803
Fermi-level density of states in states/eV/cell: 2.89

Structure (Quantum ESPRESSO input):
```
&SYSTEM
  ibrav = 0, nat = 3, ntyp = 3
/
ATOMIC_SPECIES
Be 9.01 Be.upf
Tc 98.00 Tc.upf
K 39.10 K.upf
ATOMIC_POSITIONS angstrom
Be -0.565 -0.292 -0.210
Tc -6.352 -3.285 -2.357
K -3.487 -1.803 -1.294
CELL_PARAMETERS angstrom
-6.422 -0.939 -1.083
-3.983 -4.441 -2.777
4.592 2.307 4.110
```



Entry 10:
This record from the Alexandria database describes an optimized crystal structure of K2BeTc. The functional is GGA-PBE. Values from VASP.

Summary:
M_tot in μB/f.u.: 0.8
Space-group type: No. 166
Formation energy in meV/atom: 1438
Fermi-level density of states in states/eV/cell: 2.66

Structure (Quantum ESPRESSO input):
```
&SYSTEM
  ibrav = 0, nat = 4, ntyp = 3
/
ATOMIC_SPECIES
K 39.10 K.upf
Be 9.01 Be.upf
Tc 98.00 Tc.upf
ATOMIC_POSITIONS angstrom
K -15.227 -5.001 7.336
Be -7.629 -2.505 3.676
K -0.031 -0.010 0.015
Tc -22.886 -7.516 11.027
CELL_PARAMETERS angstrom
-10.796 -1.798 4.656
-10.355 -4.520 3.716
-9.364 -3.704 6.330
```



Entry 11:
This record from the Alexandria database describes an optimized crystal structure of KBeTc. The functional is GGA-PBE. Values from VASP.

Summary:
Energy above the most stable polymorph in this dataset in meV per atom: 0
M_tot in μB/f.u.: 0.7
Space-group type: No. 107
Formation energy in meV/atom: 802
Fermi-level density of states in states/eV/cell: 3.01

Structure (Quantum ESPRESSO input):
```
&SYSTEM
  ibrav = 0, nat = 3, ntyp = 3
/
ATOMIC_SPECIES
Be 9.01 Be.upf
Tc 98.00 Tc.upf
K 39.10 K.upf
ATOMIC_POSITIONS angstrom
Be -1.809 0.287 2.662
Tc -5.127 5.989 1.667
K -3.485 3.167 2.160
CELL_PARAMETERS angstrom
-2.614 5.870 1.172
-4.932 4.276 -0.232
-1.437 -0.352 2.774
```



Entry 12:
This record from the Alexandria database describes an optimized crystal structure of KBeTc2. The functional is GGA-PBE. Values from VASP.

Summary:
M_tot in μB/f.u.: 0.0
Space-group type: No. 12
Formation energy in meV/atom: 1313
Fermi-level density of states in states/eV/cell: 3.99

Structure (Quantum ESPRESSO input):
```
&SYSTEM
  ibrav = 0, nat = 4, ntyp = 3
/
ATOMIC_SPECIES
K 39.10 K.upf
Tc 98.00 Tc.upf
Be 9.01 Be.upf
ATOMIC_POSITIONS angstrom
K 3.034 0.801 0.985
Tc 2.118 -1.667 -0.314
Tc 0.000 0.000 0.000
Be -0.041 -3.118 1.044
CELL_PARAMETERS angstrom
-0.956 -5.585 -0.255
5.193 2.252 -0.373
0.874 -0.651 2.342
```



Entry 13:
This record from the Alexandria database describes an optimized crystal structure of KBeTc4. The functional is GGA-PBE. Values from VASP.

Summary:
M_tot in μB/f.u.: 0.0
Space-group type: No. 216
Formation energy in meV/atom: 1109
Fermi-level density of states in states/eV/cell: 7.77

Structure (Quantum ESPRESSO input):
```
&SYSTEM
  ibrav = 0, nat = 6, ntyp = 3
/
ATOMIC_SPECIES
Tc 98.00 Tc.upf
K 39.10 K.upf
Be 9.01 Be.upf
ATOMIC_POSITIONS angstrom
Tc 4.649 4.649 2.794
Tc 2.794 2.794 2.794
Tc 2.794 4.649 4.649
K 0.000 0.000 0.000
Tc 4.649 2.794 4.649
Be 5.582 5.582 5.582
CELL_PARAMETERS angstrom
0.000 3.721 3.721
3.721 0.000 3.721
3.721 3.721 0.000
```



Entry 14:
This record from the Alexandria database describes an optimized crystal structure of K2Be2Tc. The functional is GGA-PBE. Values from VASP.

Summary:
Energy above the most stable polymorph in this dataset in meV per atom: 0
M_tot in μB/f.u.: 0.0
Space-group type: No. 139
Formation energy in meV/atom: 1046
Fermi-level density of states in states/eV/cell: 2.14

Structure (Quantum ESPRESSO input):
```
&SYSTEM
  ibrav = 0, nat = 5, ntyp = 3
/
ATOMIC_SPECIES
Tc 98.00 Tc.upf
Be 9.01 Be.upf
K 39.10 K.upf
ATOMIC_POSITIONS angstrom
Tc 0.000 0.000 0.000
Be 5.858 -3.224 0.510
Be 6.308 -2.017 -1.056
K 2.953 -1.713 -0.472
K 9.214 -3.529 -0.074
CELL_PARAMETERS angstrom
-0.190 -2.835 0.387
0.709 -0.422 -2.747
11.648 -1.984 1.814
```



Entry 15:
This record from the Alexandria database describes an optimized crystal structure of K2BeTc. The functional is GGA-PBE. Values from VASP.

Summary:
M_tot in μB/f.u.: 2.9
Space-group type: No. 122
Formation energy in meV/atom: 1200
Fermi-level density of states in states/eV/cell: 3.95

Structure (Quantum ESPRESSO input):
```
&SYSTEM
  ibrav = 0, nat = 8, ntyp = 3
/
ATOMIC_SPECIES
Tc 98.00 Tc.upf
K 39.10 K.upf
Be 9.01 Be.upf
ATOMIC_POSITIONS angstrom
Tc 12.555 6.278 1.070
K 7.007 3.139 0.535
Tc 0.000 0.000 0.000
K 9.416 11.825 1.606
K 15.694 13.285 1.606
K 5.548 9.416 0.535
Be 6.278 12.555 1.070
Be 6.278 6.278 0.000
CELL_PARAMETERS angstrom
12.555 0.000 0.000
0.000 12.555 0.000
6.278 6.278 2.141
```



Entry 16:
This record from the Alexandria database describes an optimized crystal structure of K2BeTc. The functional is GGA-PBE. Values from VASP.

Summary:
M_tot in μB/f.u.: 0.0
Space-group type: No. 123
Formation energy in meV/atom: 1391
Fermi-level density of states in states/eV/cell: 3.29

Structure (Quantum ESPRESSO input):
```
&SYSTEM
  ibrav = 0, nat = 4, ntyp = 3
/
ATOMIC_SPECIES
Be 9.01 Be.upf
K 39.10 K.upf
Tc 98.00 Tc.upf
ATOMIC_POSITIONS angstrom
Be 5.161 -2.621 6.645
K 0.015 -0.003 0.024
Tc 2.148 -2.042 1.809
K 2.998 -0.575 4.812
CELL_PARAMETERS angstrom
-0.901 -2.615 0.249
2.183 -0.892 -1.467
6.026 -1.156 9.672
```



Entry 17:
This record from the Alexandria database describes an optimized crystal structure of K2BeTc. The functional is GGA-PBE. Values from VASP.

Summary:
M_tot in μB/f.u.: 2.6
Space-group type: No. 119
Formation energy in meV/atom: 1481
Fermi-level density of states in states/eV/cell: 2.22

Structure (Quantum ESPRESSO input):
```
&SYSTEM
  ibrav = 0, nat = 4, ntyp = 3
/
ATOMIC_SPECIES
Tc 98.00 Tc.upf
K 39.10 K.upf
Be 9.01 Be.upf
ATOMIC_POSITIONS angstrom
Tc 2.603 2.615 0.000
K -2.619 2.606 3.694
Be 2.611 0.004 1.847
K -0.008 2.610 1.847
CELL_PARAMETERS angstrom
5.222 0.009 0.000
-0.015 5.221 0.000
-2.604 -2.615 3.695
```



Entry 18:
This record from the Alexandria database describes an optimized crystal structure of KBeTc2. The functional is GGA-PBE. Values from VASP.

Summary:
M_tot in μB/f.u.: 0.0
Space-group type: No. 71
Formation energy in meV/atom: 880
Fermi-level density of states in states/eV/cell: 3.98

Structure (Quantum ESPRESSO input):
```
&SYSTEM
  ibrav = 0, nat = 4, ntyp = 3
/
ATOMIC_SPECIES
K 39.10 K.upf
Tc 98.00 Tc.upf
Be 9.01 Be.upf
ATOMIC_POSITIONS angstrom
K 3.353 0.745 1.138
Tc 6.277 1.394 2.483
Be 10.060 2.234 3.413
Tc 2.511 0.558 4.305
CELL_PARAMETERS angstrom
5.943 0.015 0.020
5.390 2.502 0.020
2.081 0.462 4.512
```



Entry 19:
This record from the Alexandria database describes an optimized crystal structure of K2BeTc. The functional is GGA-PBE. Values from VASP.

Summary:
M_tot in μB/f.u.: 0.4
Space-group type: No. 8
Formation energy in meV/atom: 878
Fermi-level density of states in states/eV/cell: 3.29

Structure (Quantum ESPRESSO input):
```
&SYSTEM
  ibrav = 0, nat = 4, ntyp = 3
/
ATOMIC_SPECIES
Tc 98.00 Tc.upf
K 39.10 K.upf
Be 9.01 Be.upf
ATOMIC_POSITIONS angstrom
Tc 4.146 1.431 4.051
K 7.550 2.606 0.977
K 6.086 2.101 6.587
Be 2.053 0.709 3.430
CELL_PARAMETERS angstrom
4.283 0.006 -0.012
3.374 2.637 -0.012
0.462 0.159 10.071
```



Entry 20:
This record from the Alexandria database describes an optimized crystal structure of KBeTc2. The functional is GGA-PBE. Values from VASP.

Summary:
M_tot in μB/f.u.: 0.5
Space-group type: No. 47
Formation energy in meV/atom: 1365
Fermi-level density of states in states/eV/cell: 5.80

Structure (Quantum ESPRESSO input):
```
&SYSTEM
  ibrav = 0, nat = 4, ntyp = 3
/
ATOMIC_SPECIES
Tc 98.00 Tc.upf
Be 9.01 Be.upf
K 39.10 K.upf
ATOMIC_POSITIONS angstrom
Tc 0.000 0.000 0.000
Be -2.842 -0.522 -0.008
Tc -0.443 -0.988 -2.563
K -1.766 -2.933 -0.883
CELL_PARAMETERS angstrom
-1.520 1.423 -1.687
0.633 -3.400 -3.438
-4.165 -2.467 1.671
```